[1]
Compound: NbCd2PtCl
Source: the Alexandria database
Functional: GGA-PBE
Structure: relaxed

It has space group P4/mmm (No. 123), with a = 5.224 Å, b = 5.224 Å, c = 4.991 Å, α = 90.00°, β = 90.00° and γ = 90.00°. The inequivalent atoms are Nb at (0.000, 0.000, 0.000), Cd at (0.000, 0.500, 0.500), Pt at (0.000, 0.000, 0.500) and Cl at (0.500, 0.500, 0.000).

For the uncorrected formation energy, the calculation gives 0.246 eV/atom. The calculated volume is 136.23 Å³/cell. As for the final energy: -18.56 eV/f.u. As for the total magnetization: 1.97 μB per formula unit.



[2]
Compound: TbPr7Dy3
Source: the Alexandria database
Functional: GGA-PBE
Structure: relaxed

It has space group C2/c (No. 15), with a = 19.470 Å, b = 7.243 Å, c = 12.716 Å, α = 90.00°, β = 116.51° and γ = 90.00°. The inequivalent atoms are Tb at (0.000, 0.000, 0.000), Pr at (0.000, 0.213, 0.250), Pr at (0.159, 0.495, 0.773), Pr at (0.166, 0.247, 0.025), Pr at (0.168, 0.247, 0.528), Dy at (0.000, 0.500, 0.000) and Dy at (0.171, 0.003, 0.274).

The calculated volume is 1604.55 Å³/cell. As for the final energy: -49.89 eV/f.u. As for the total magnetization: 0.00 μB per formula unit.



[3]
Compound: NaNiCl4
Source: the Alexandria database
Functional: GGA-PBE
Structure: relaxed

It has space group P-1 (No. 2), with a = 3.650 Å, b = 6.278 Å, c = 6.829 Å, α = 107.75°, β = 90.19° and γ = 100.49°. The inequivalent atoms are Na at (0.000, 0.000, 0.000), Ni at (0.500, 0.000, 0.500), Cl at (0.133, 0.223, 0.429) and Cl at (0.428, 0.777, 0.174).

For the uncorrected formation energy, the calculation gives -0.875 eV/atom. The calculated volume is 146.25 Å³/cell. As for the final energy: -19.74 eV/f.u. As for the total magnetization: 1.02 μB per formula unit.



[4]
Compound: CaZrP
Source: the Alexandria database
Functional: GGA-PBE
Structure: relaxed

It has space group Pmmn (No. 59, origin choice 2), with a = 3.582 Å, b = 3.779 Å, c = 11.137 Å, α = 90.00°, β = 90.00° and γ = 90.00°. The inequivalent atoms are Ca at (0.250, 0.250, 0.137), Zr at (0.250, 0.750, 0.407) and P at (0.250, 0.750, 0.647).

The calculated volume is 150.74 Å³/cell. As for the final energy: -18.69 eV/f.u. As for the total magnetization: 0.00 μB per formula unit.



[5]
Compound: Rb3Tl3GeI8
Source: the Alexandria database
Functional: GGA-PBE
Structure: relaxed

It has space group R-3m (No. 166, hexagonal axes), with a = 10.3255 Å, b = 10.3255 Å, c = 24.4466 Å, α = 90.00°, β = 90.00° and γ = 120.00°. The inequivalent atoms are Rb at (0.0000, 0.5000, 0.0000), Tl at (0.0000, 0.5000, 0.5000), Ge at (0.0000, 0.0000, 0.0000), I at (0.0000, 0.0000, 0.2463) and I at (0.0539, 0.5270, 0.7398).

For the uncorrected formation energy, the calculation gives -0.918 eV/atom. The calculated volume is 2257.21 Å³/cell. As for the final energy: -40.80 eV/f.u. As for the total magnetization: 0.00 μB per formula unit.



[6]
Compound: AcTlGeSe4
Source: the Alexandria database
Functional: GGA-PBE
Structure: relaxed

It has space group P2_1/m (No. 11), with a = 7.159 Å, b = 7.052 Å, c = 9.089 Å, α = 90.00°, β = 106.57° and γ = 90.00°. The inequivalent atoms are Ac at (0.240, 0.250, 0.059), Tl at (0.258, 0.250, 0.567), Ge at (0.216, 0.750, 0.807), Se at (0.003, 0.512, 0.234), Se at (0.396, 0.750, 0.075) and Se at (0.414, 0.750, 0.640).

For the uncorrected formation energy, the calculation gives -0.978 eV/atom. The calculated volume is 439.84 Å³/cell. As for the final energy: -31.88 eV/f.u. As for the total magnetization: 0.00 μB per formula unit.



[7]
Compound: Ni3Pt6W
Source: the Alexandria database
Functional: GGA-PBE
Structure: relaxed

It has space group Pnnm (No. 58), with a = 8.734 Å, b = 13.503 Å, c = 2.707 Å, α = 90.00°, β = 90.00° and γ = 90.00°. The inequivalent atoms are Ni at (0.000, 0.000, 0.000), Ni at (0.222, 0.256, 0.500), Pt at (0.002, 0.809, 0.000), Pt at (0.217, 0.597, 0.500), Pt at (0.234, 0.917, 0.500) and W at (0.000, 0.500, 0.000).

The calculated volume is 319.28 Å³/cell. As for the final energy: -64.97 eV/f.u. As for the total magnetization: 2.99 μB per formula unit.



[8]
Compound: TmThCo
Source: the Alexandria database
Functional: GGA-PBE
Structure: relaxed

It has space group F-43m (No. 216), with a = 6.705 Å, b = 6.705 Å, c = 6.705 Å, α = 90.00°, β = 90.00° and γ = 90.00°. The inequivalent atoms are Tm at (0.000, 0.000, 0.000), Th at (0.000, 0.000, 0.500) and Co at (0.250, 0.250, 0.750).

The calculated volume is 301.45 Å³/cell. As for the final energy: -19.15 eV/f.u. As for the total magnetization: 0.00 μB per formula unit.



[9]
Compound: TiRu3Br
Source: the Alexandria database
Functional: GGA-PBE
Structure: relaxed

It has space group Pm-3m (No. 221), with a = 4.512 Å, b = 4.512 Å, c = 4.512 Å, α = 90.00°, β = 90.00° and γ = 90.00°. The inequivalent atoms are Ti at (0.000, 0.000, 0.000), Ru at (0.000, 0.500, 0.500) and Br at (0.500, 0.500, 0.500).

For the uncorrected formation energy, the calculation gives 1.320 eV/atom. The calculated volume is 91.86 Å³/cell. As for the final energy: -30.80 eV/f.u. As for the total magnetization: 1.19 μB per formula unit.



[10]
Compound: La2Sm7Th2
Source: the Alexandria database
Functional: GGA-PBE
Structure: relaxed

It has space group Imm2 (No. 44), with a = 3.541 Å, b = 18.292 Å, c = 11.894 Å, α = 90.00°, β = 90.00° and γ = 90.00°. The inequivalent atoms are La at (0.000, 0.209, 0.000), Sm at (0.000, 0.000, 0.036), Sm at (0.000, 0.101, 0.492), Sm at (0.000, 0.323, 0.756), Sm at (0.000, 0.341, 0.247), Th at (0.000, 0.000, 0.753) and Th at (0.000, 0.500, 0.777).

The calculated volume is 770.30 Å³/cell. As for the final energy: -55.51 eV/f.u. As for the total magnetization: 0.00 μB per formula unit.



[11]
Compound: ZrAlZn
Source: the Alexandria database
Functional: GGA-PBE
Structure: relaxed

It has space group P-6m2 (No. 187), with a = 4.3412 Å, b = 4.3412 Å, c = 3.2574 Å, α = 90.00°, β = 90.00° and γ = 120.00°. The inequivalent atoms are Zr at (0.0000, 0.0000, 0.0000), Al at (0.6667, 0.3333, 0.5000) and Zn at (0.3333, 0.6667, 0.5000).

The calculated volume is 53.16 Å³/cell. As for the final energy: -14.90 eV/f.u. As for the total magnetization: 0.00 μB per formula unit.



[12]
Compound: LaCo2Te
Source: the Alexandria database
Functional: GGA-PBE
Structure: relaxed

It has space group R3m (No. 160, hexagonal axes), with a = 4.1704 Å, b = 4.1704 Å, c = 16.6722 Å, α = 90.00°, β = 90.00° and γ = 120.00°. The inequivalent atoms are La at (0.0000, 0.0000, 0.0000), Co at (0.0000, 0.0000, 0.4557), Co at (0.0000, 0.0000, 0.7847) and Te at (0.0000, 0.0000, 0.1948).

For the uncorrected formation energy, the calculation gives -0.346 eV/atom. The calculated volume is 251.10 Å³/cell. As for the final energy: -23.67 eV/f.u. As for the total magnetization: 2.58 μB per formula unit.



[13]
Compound: SbP2IrO
Source: the Alexandria database
Functional: GGA-PBE
Structure: relaxed

It has space group P4/mmm (No. 123), with a = 4.884 Å, b = 4.884 Å, c = 3.723 Å, α = 90.00°, β = 90.00° and γ = 90.00°. The inequivalent atoms are Sb at (0.000, 0.000, 0.000), P at (0.000, 0.500, 0.500), Ir at (0.500, 0.500, 0.500) and O at (0.500, 0.500, 0.000).

For the uncorrected formation energy, the calculation gives 0.133 eV/atom. The calculated volume is 88.82 Å³/cell. As for the final energy: -28.10 eV/f.u. As for the total magnetization: 0.00 μB per formula unit.



[14]
Compound: Li2Ac2PdO6
Source: the Alexandria database
Functional: GGA-PBE
Structure: relaxed

It has space group R-3m (No. 166, hexagonal axes), with a = 5.7326 Å, b = 5.7326 Å, c = 15.0109 Å, α = 90.00°, β = 90.00° and γ = 120.00°. The inequivalent atoms are Li at (0.0000, 0.0000, 0.0725), Ac at (0.0000, 0.0000, 0.2744), Pd at (0.0000, 0.0000, 0.5000) and O at (0.0233, 0.5116, 0.2539).

For the uncorrected formation energy, the calculation gives -2.073 eV/atom. The calculated volume is 427.20 Å³/cell. As for the final energy: -69.79 eV/f.u. As for the total magnetization: 0.00 μB per formula unit.



[15]
Compound: MnGeMoIr
Source: the Alexandria database
Functional: GGA-PBE
Structure: relaxed

It has space group F-43m (No. 216), with a = 6.103 Å, b = 6.103 Å, c = 6.103 Å, α = 90.00°, β = 90.00° and γ = 90.00°. The inequivalent atoms are Mn at (0.000, 0.000, 0.000), Ge at (0.000, 0.000, 0.500), Mo at (0.250, 0.250, 0.750) and Ir at (0.250, 0.250, 0.250).

The calculated volume is 227.33 Å³/cell. As for the final energy: -34.18 eV/f.u. As for the total magnetization: 2.06 μB per formula unit.



[16]
Compound: BaMg2Se2
Source: the Alexandria database
Functional: GGA-PBE
Structure: relaxed

It has space group I4/mmm (No. 139), with a = 4.315 Å, b = 4.315 Å, c = 14.145 Å, α = 90.00°, β = 90.00° and γ = 90.00°. The inequivalent atoms are Ba at (0.000, 0.000, 0.000), Mg at (0.000, 0.500, 0.250) and Se at (0.000, 0.000, 0.378).

For the uncorrected formation energy, the calculation gives -0.930 eV/atom. The calculated volume is 263.38 Å³/cell. As for the final energy: -16.73 eV/f.u. As for the total magnetization: 0.00 μB per formula unit.



[17]
Compound: SrHf2Cd
Source: the Alexandria database
Functional: GGA-PBE
Structure: relaxed

It has space group I-42d (No. 122), with a = 4.373 Å, b = 4.373 Å, c = 22.886 Å, α = 90.00°, β = 90.00° and γ = 90.00°. The inequivalent atoms are Sr at (0.000, 0.000, 0.000), Hf at (0.232, 0.250, 0.625) and Cd at (0.000, 0.000, 0.500).

The calculated volume is 437.73 Å³/cell. As for the final energy: -19.89 eV/f.u. As for the total magnetization: 0.00 μB per formula unit.



[18]
Compound: NdSmSnRh
Source: the Alexandria database
Functional: GGA-PBE
Structure: relaxed

It has space group F-43m (No. 216), with a = 7.415 Å, b = 7.415 Å, c = 7.415 Å, α = 90.00°, β = 90.00° and γ = 90.00°. The inequivalent atoms are Nd at (0.000, 0.000, 0.000), Sm at (0.000, 0.000, 0.500), Sn at (0.250, 0.250, 0.250) and Rh at (0.250, 0.250, 0.750).

The calculated volume is 407.68 Å³/cell. As for the final energy: -23.11 eV/f.u. As for the total magnetization: 0.00 μB per formula unit.



[19]
Compound: CsKTe2Os
Source: the Alexandria database
Functional: GGA-PBE
Structure: relaxed

It has space group P4/mmm (No. 123), with a = 6.184 Å, b = 6.184 Å, c = 6.437 Å, α = 90.00°, β = 90.00° and γ = 90.00°. The inequivalent atoms are Cs at (0.000, 0.000, 0.000), K at (0.000, 0.000, 0.500), Te at (0.000, 0.500, 0.500) and Os at (0.500, 0.500, 0.000).

For the uncorrected formation energy, the calculation gives 1.425 eV/atom. The calculated volume is 246.17 Å³/cell. As for the final energy: -12.34 eV/f.u. As for the total magnetization: 4.21 μB per formula unit.



[20]
Compound: SrAc3Ho
Source: the Alexandria database
Functional: GGA-PBE
Structure: relaxed

It has space group P2_1/m (No. 11), with a = 8.709 Å, b = 5.619 Å, c = 8.810 Å, α = 90.00°, β = 90.65° and γ = 90.00°. The inequivalent atoms are Sr at (0.246, 0.250, 0.259), Ac at (0.148, 0.750, 0.946), Ac at (0.332, 0.750, 0.555), Ac at (0.438, 0.250, 0.846) and Ho at (0.052, 0.250, 0.649).

The calculated volume is 431.13 Å³/cell. As for the final energy: -18.06 eV/f.u. As for the total magnetization: 0.00 μB per formula unit.